Material: Sr2VCdF
Method: DFT, PBE with a Hubbard U
State: relaxed

The calculation puts the total magnetic moment at 5.55 μB per formula unit. Its crystal system is tetragonal. The calculation puts the total energy at -2.65 eV/atom. As for the density of states at the Fermi level: 0.56 states/eV/atom. As for the space-group type: No. 123.

The structure in extended XYZ format:
```
5
Lattice="6.1286 0.0000 0.0000 0.0000 6.1286 0.0000 0.0000 0.0000 5.2477" Properties=species:S:1:pos:R:3 pbc="T T T"
Sr 0.0000 3.0643 0.0000
Sr 3.0643 0.0000 0.0000
V 0.0000 0.0000 0.0000
Cd 0.0000 0.0000 2.6238
F 3.0643 3.0643 2.6238
```

***

Material: SrCdW2F
Method: DFT, PBE with a Hubbard U
State: relaxed

The calculation puts the total magnetic moment at 7.38 μB per formula unit. Its crystal system is tetragonal. The calculation puts the total energy at -2.82 eV/atom. As for the density of states at the Fermi level: 0.28 states/eV/atom. As for the space-group type: No. 123.

The structure in extended XYZ format:
```
5
Lattice="5.3595 0.0000 0.0000 0.0000 5.3595 0.0000 0.0000 0.0000 6.4080" Properties=species:S:1:pos:R:3 pbc="T T T"
Sr 0.0000 0.0000 0.0000
Cd 0.0000 0.0000 3.2040
W 0.0000 2.6797 3.2040
W 2.6797 0.0000 3.2040
F 2.6797 2.6797 0.0000
```

***

Q: What is the total magnetic moment in the second record?
A: 7.38 μB per formula unit

***

Q: The highest total magnetic moment belongs to which entry?
A: SrCdW2F

***

Q: The highest total magnetic moment belongs to which entry?
A: SrCdW2F